This record from Alexandria via LeMat-Bulk describes an optimized crystal structure of Zr2AlAu6. The functional is PBE.

Computed properties:
ΔH_f (0 K): -0.468 eV per atom
Total energy: -89.4 eV for the cell shown

Cell: 5.0618 15.2605 4.9749 Å, 90.00 119.35 90.00°
Closest atoms and distances in Å follow each position.
Space group C2/m (No. 12)
Inequivalent atoms, fractional coordinates:
Zr  0.0000  0.1639  0.0000 [4 per cell]  10 Au 2.88-3.02
Al  0.0000  0.0000  0.5000 [2 per cell]  10 Au 2.86-2.96
Au  0.1699  0.3372  0.3342 [8 per cell]  4 Zr 2.88-3.02, 1 Al 2.88, 5 Au 2.90-3.02
Au  0.1713  0.5000  0.8308 [4 per cell]  3 Al 2.86-2.96, 5 Au 2.87-2.95, 2 Zr 2.89



This record from Alexandria via LeMat-Bulk describes an optimized crystal structure of Mg3Mn. The functional is PBE.

Computed properties:
ΔH_f (0 K): 0.390 eV per atom
Total energy: -24.8 eV for the cell shown

Cell: 4.7882 4.7141 8.5643 Å, 90.00 105.47 90.00°
Closest atoms and distances in Å follow each position.
Space group P2_1/m (No. 11)
Inequivalent atoms, fractional coordinates:
Mg  0.0543  0.2500  0.1132 [2 per cell]  2 Mn 2.82, 5 Mg 3.01-3.16
Mg  0.2521  0.2500  0.4954 [2 per cell]  4 Mn 2.85-2.94, 2 Mg 3.08-3.16
Mg  0.4358  0.2500  0.8683 [2 per cell]  2 Mn 2.77-2.78, 1 Mg 3.08
Mn  0.1464  0.7500  0.3009 [2 per cell]  8 Mg 2.77-2.94



This record from Alexandria via LeMat-Bulk describes an optimized crystal structure of CsSnTe2N. The functional is PBE.

Computed properties:
ΔE_f (raw): 1.47 eV per atom
Total energy: -12.1 eV for the cell shown
ΔE to the lowest computed polymorph: 1152 meV per atom

Cell: 6.4384 6.4384 4.7227 Å, 90.00 90.00 90.00°
Closest atoms and distances in Å follow each position.
Space group P4/mmm (No. 123)
Inequivalent atoms, fractional coordinates:
Cs  0.0000  0.0000  0.0000 [1 per cell]  2 N 2.36
Sn  0.5000  0.5000  0.5000 [1 per cell]  8 Te 3.99
Te  0.0000  0.5000  0.0000 [2 per cell]  2 Cs 3.22
N  0.0000  0.0000  0.5000 [1 per cell]  2 Cs 2.36



This record from Alexandria via LeMat-Bulk describes an optimized crystal structure of Ni2POs. The functional is PBE.

Computed properties:
ΔH_f (0 K): 0.444 eV per atom
Total energy: -105.7 eV for the cell shown
ΔE to the lowest computed polymorph: 540 meV per atom

Cell: 5.8179 5.8179 5.8179 Å, 90.00 90.00 90.00°
Closest atoms and distances in Å follow each position.
Space group Fm-3m (No. 225)
Inequivalent atoms, fractional coordinates:
Ni  0.2500  0.2500  0.2500 [8 per cell]  4 Os 2.52, 4 P 2.52
P  0.0000  0.0000  0.0000 [4 per cell]  8 Ni 2.52
Os  0.0000  0.0000  0.5000 [4 per cell]  8 Ni 2.52



This record from Alexandria via LeMat-Bulk describes an optimized crystal structure of Er4SiNi3. The functional is PBE.

Computed properties:
ΔE_f (raw): -0.56 eV per atom
Total energy: -45.5 eV for the cell shown

Cell: 3.9275 4.0003 10.2503 Å, 90.00 90.00 90.00°
Closest atoms and distances in Å follow each position.
Space group Pmm2 (No. 25)
Inequivalent atoms, fractional coordinates:
Er  0.0000  0.0000  0.0000 [1 per cell]  6 Ni 2.89, 1 Si 3.03
Er  0.0000  0.5000  0.2787 [1 per cell]  7 Ni 2.90-2.96
Er  0.5000  0.0000  0.4926 [1 per cell]  5 Ni 2.91-2.93, 2 Si 2.93
Er  0.5000  0.5000  0.7805 [1 per cell]  4 Si 2.91, 3 Ni 2.93
Si  0.0000  0.0000  0.7046 [1 per cell]  2 Ni 2.44
Ni  0.0000  0.5000  0.5678 [1 per cell]  2 Si 2.44
Ni  0.5000  0.0000  0.2065 [1 per cell]  2 Ni 2.46
Ni  0.5000  0.5000  0.0667 [1 per cell]  2 Ni 2.46



This record from Alexandria via LeMat-Bulk describes an optimized crystal structure of ZnPt4Se. The functional is PBE.

Computed properties:
ΔE_f (raw): 0.25 eV per atom
Total energy: -109.6 eV for the cell shown

Cell: 7.5061 7.5061 7.5061 Å, 90.00 90.00 90.00°
Closest atoms and distances in Å follow each position.
Space group F-43m (No. 216)
Inequivalent atoms, fractional coordinates:
Zn  0.0000  0.0000  0.0000 [4 per cell]  12 Pt 3.11, 4 Se 3.25
Pt  0.1251  0.1251  0.6251 [16 per cell]  6 Pt 2.65-2.66
Se  0.2500  0.2500  0.2500 [4 per cell]  12 Pt 3.11, 4 Zn 3.25